Below is a geometry-optimized RbHg3Bi2 structure, with properties calculated at the PBE level.

Computed properties:
calculated formation energy	-0.0827	eV/atom

Cell: 7.937 7.937 6.752 Å, 90.00 90.00 80.45°
Element x y z (fractional)
Rb1 0.194 0.806 0.750
Rb2 0.806 0.194 0.250
Hg1 0.058 0.657 0.250
Hg2 0.343 0.942 0.250
Hg3 0.437 0.563 0.250
Hg4 0.563 0.437 0.750
Hg5 0.657 0.058 0.750
Hg6 0.942 0.343 0.750
Bi1 0.282 0.282 0.000
Bi2 0.282 0.282 0.500
Bi3 0.718 0.718 0.000
Bi4 0.718 0.718 0.500